No. 1
Al3Si2Ni3: relaxed, GGA-PBE.

Cell: 4.857 6.270 7.511 Å, 105.09 99.90 100.33°
Space group P-1 (No. 2)
Symmetry-distinct sites (fractional):
Al 0.052 0.363 0.339 [2 per cell]
Al 0.215 0.941 0.438 [2 per cell]
Al 0.303 0.033 0.121 [2 per cell]
Si 0.107 0.338 0.997 [2 per cell]
Si 0.460 0.369 0.713 [2 per cell]
Ni 0.208 0.050 0.779 [2 per cell]
Ni 0.371 0.657 0.957 [2 per cell]
Ni 0.414 0.683 0.576 [2 per cell]

Results
N(E_F)   0.312 states/eV per atom
Final energy   -5.308 eV per atom
Relative energy among the computed polymorphs   0 meV/atom

***

No. 2
BaLiAsPd6: relaxed, GGA-PBE.

Cell: 5.483 10.052 13.393 Å, 90.00 90.00 90.00°
Space group Imma (No. 74)
Symmetry-distinct sites (fractional):
Ba 0.000 0.250 0.127 [4 per cell]
Li 0.250 0.250 0.750 [4 per cell]
As 0.000 0.000 0.500 [4 per cell]
Pd 0.000 0.250 0.555 [4 per cell]
Pd 0.000 0.250 0.910 [4 per cell]
Pd 0.249 0.028 0.850 [16 per cell]

Results
N(E_F)   0.534 states/eV per atom
Final energy   -4.676 eV per atom

***

No. 3
Ba2TaPt: relaxed, GGA-PBE.

Cell: 3.582 3.582 9.469 Å, 90.00 90.00 90.00°
Space group P4/mmm (No. 123)
Symmetry-distinct sites (fractional):
Ba 0.000 0.000 0.212 [2 per cell]
Ta 0.500 0.500 0.500 [1 per cell]
Pt 0.500 0.500 0.000 [1 per cell]

Results
N(E_F)   1.324 states/eV per atom
Final energy   -4.860 eV per atom
Relative energy among the computed polymorphs   515 meV/atom

***

No. 4
PuTaH: relaxed, GGA-PBE.

Cell: 3.4103 3.4103 24.3568 Å, 90.00 90.00 120.00°
Space group R-3m (No. 166, hexagonal axes)
Symmetry-distinct sites (fractional):
Pu 0.0000 0.0000 0.1408 [6 per cell]
Ta 0.0000 0.0000 0.2906 [6 per cell]
H 0.0000 0.0000 0.4176 [6 per cell]

Results
N(E_F)   1.196 states/eV per atom
Final energy   -9.707 eV per atom
Relative energy among the computed polymorphs   0 meV/atom

***

No. 5
LiTb6Mg: relaxed, GGA-PBE.

Cell: 6.221 6.224 6.233 Å, 89.75 89.60 89.82°
Space group P-1 (No. 2)
Symmetry-distinct sites (fractional):
Li 0.000 0.000 0.000 [1 per cell]
Tb 0.025 0.480 0.748 [2 per cell]
Tb 0.252 0.973 0.483 [2 per cell]
Tb 0.483 0.252 0.028 [2 per cell]
Mg 0.500 0.500 0.500 [1 per cell]

Results
N(E_F)   1.272 states/eV per atom
Final energy   -3.762 eV per atom

***

No. 6
LaNdPH: relaxed, GGA-PBE.

Cell: 4.0989 4.0989 39.5709 Å, 90.00 90.00 120.00°
Space group R-3m (No. 166, hexagonal axes)
Symmetry-distinct sites (fractional):
La 0.0000 0.0000 0.1227 [6 per cell]
Nd 0.0000 0.0000 0.2917 [6 per cell]
P 0.0000 0.0000 0.0000 [3 per cell]
P 0.0000 0.0000 0.5000 [3 per cell]
H 0.0000 0.0000 0.2323 [6 per cell]

Results
N(E_F)   0.661 states/eV per atom
Final energy   -5.607 eV per atom

***

No. 7
Dy2YP3Rh12: relaxed, GGA-PBE.

Cell: 8.9582 8.9582 12.8058 Å, 90.00 90.00 120.00°
Space group R-3m (No. 166, hexagonal axes)
Symmetry-distinct sites (fractional):
Dy 0.0000 0.0000 0.1280 [6 per cell]
Y 0.0000 0.0000 0.5000 [3 per cell]
P 0.0000 0.5000 0.0000 [9 per cell]
Rh 0.0119 0.5059 0.8261 [18 per cell]
Rh 0.0247 0.5123 0.3824 [18 per cell]

Results
N(E_F)   0.910 states/eV per atom
Final energy   -7.082 eV per atom

***

No. 8
Rb2MnCuS4: relaxed, GGA-PBE.

Cell: 5.511 13.413 23.594 Å, 90.00 90.00 90.00°
Space group Fddd (No. 70, origin choice 2)
Symmetry-distinct sites (fractional):
Rb 0.125 0.125 0.303 [16 per cell]
Mn 0.125 0.125 0.625 [8 per cell]
Cu 0.125 0.125 0.125 [8 per cell]
S 0.103 0.283 0.823 [32 per cell]

Results
N(E_F)   0.033 states/eV per atom
Final energy   -4.747 eV per atom

***

No. 9
Li6Bi2H: relaxed, GGA-PBE.

Cell: 6.143 6.143 8.377 Å, 90.00 90.00 90.00°
Space group I4/mmm (No. 139)
Symmetry-distinct sites (fractional):
Li 0.000 0.000 0.238 [4 per cell]
Li 0.232 0.232 0.000 [8 per cell]
Bi 0.000 0.500 0.250 [4 per cell]
H 0.000 0.000 0.000 [2 per cell]

Results
N(E_F)   0.107 states/eV per atom
Final energy   -2.960 eV per atom
Relative energy among the computed polymorphs   0 meV/atom

***

No. 10
Pm5Dy4Mg: relaxed, GGA-PBE.

Cell: 3.615 3.615 24.595 Å, 90.00 90.00 90.00°
Space group P4/mmm (No. 123)
Symmetry-distinct sites (fractional):
Pm 0.000 0.000 0.000 [1 per cell]
Pm 0.000 0.000 0.205 [2 per cell]
Pm 0.000 0.000 0.410 [2 per cell]
Dy 0.500 0.500 0.103 [2 per cell]
Dy 0.500 0.500 0.308 [2 per cell]
Mg 0.500 0.500 0.500 [1 per cell]

Results
N(E_F)   1.220 states/eV per atom
Final energy   -4.380 eV per atom

***

No. 11
DyYPd: relaxed, GGA-PBE.

Cell: 7.4176 7.4176 9.7178 Å, 90.00 90.00 120.00°
Space group P-62c (No. 190)
Symmetry-distinct sites (fractional):
Dy 0.0004 0.5960 0.2500 [6 per cell]
Y 0.0000 0.2647 0.0000 [6 per cell]
Pd 0.0000 0.0000 0.2500 [2 per cell]
Pd 0.3333 0.6667 0.0006 [4 per cell]

Results
N(E_F)   1.291 states/eV per atom
Final energy   -5.976 eV per atom
Relative energy among the computed polymorphs   0 meV/atom

***

No. 12
Pm2Nd6SmDy: relaxed, GGA-PBE.

Cell: 9.267 15.415 9.868 Å, 90.00 98.39 90.00°
Space group C2/c (No. 15)
Symmetry-distinct sites (fractional):
Pm 0.246 0.050 0.043 [8 per cell]
Nd 0.064 0.184 0.445 [8 per cell]
Nd 0.101 0.395 0.619 [8 per cell]
Nd 0.207 0.222 0.812 [8 per cell]
Sm 0.000 0.021 0.750 [4 per cell]
Dy 0.000 0.408 0.250 [4 per cell]

Results
N(E_F)   1.482 states/eV per atom
Final energy   -4.630 eV per atom

***

No. 13
Nd4CuRu: relaxed, GGA-PBE.

Cell: 9.003 13.652 6.392 Å, 90.00 121.78 90.00°
Space group C2/c (No. 15)
Symmetry-distinct sites (fractional):
Nd 0.125 0.179 0.096 [8 per cell]
Nd 0.207 0.433 0.290 [8 per cell]
Cu 0.000 0.372 0.750 [4 per cell]
Ru 0.000 0.000 0.250 [4 per cell]

Results
N(E_F)   1.257 states/eV per atom
Final energy   -5.536 eV per atom
Relative energy among the computed polymorphs   0 meV/atom

***

No. 14
ZrHgSe2: relaxed, GGA-PBE.

Cell: 7.134 10.176 4.923 Å, 90.00 90.00 90.00°
Space group Cmcm (No. 63)
Symmetry-distinct sites (fractional):
Zr 0.000 0.102 0.250 [4 per cell]
Hg 0.000 0.387 0.750 [4 per cell]
Se 0.217 0.117 0.750 [8 per cell]

Results
N(E_F)   0.274 states/eV per atom
Final energy   -4.512 eV per atom
Relative energy among the computed polymorphs   434 meV/atom

***

No. 15
LaPb2W: relaxed, GGA-PBE.

Cell: 3.696 5.271 11.164 Å, 90.00 90.00 90.00°
Space group Cmm2 (No. 35)
Symmetry-distinct sites (fractional):
La 0.000 0.000 0.000 [2 per cell]
Pb 0.000 0.000 0.588 [2 per cell]
Pb 0.000 0.500 0.279 [2 per cell]
W 0.000 0.500 0.792 [2 per cell]

Results
N(E_F)   1.064 states/eV per atom
Final energy   -5.804 eV per atom
Relative energy among the computed polymorphs   146 meV/atom